(1)
# As3Br

As3Br after structural relaxation (GGA-PBE, the Alexandria database).

```
8
Lattice="-5.917 3.754 -0.476 2.229 -3.754 -5.501 -2.646 -3.964 1.633" Properties=species:S:1:pos:R:3 pbc="T T T"
As -2.160 -3.425 -0.156
As -4.517 -3.425 -3.976
As -4.174 -0.540 -4.188
As -1.817 -0.539 -0.368
As -0.735 -5.824 -3.672
As -5.599 1.860 -0.672
Br -1.148 -2.243 -3.418
Br -5.186 -1.722 -0.926
```

The calculation puts the size of the total moment at 0.00 μB per formula unit. The space group is No. 194. The uncorrected formation energy is 9.7 kJ per mole of atoms. For the density of states at the Fermi level, the calculation gives 2.96 states/eV/f.u. The energy above the most stable polymorph in this dataset is 10.9 meV per atom.


(2)
# Ho4ScTe5

Ho4ScTe5 after structural relaxation (GGA-PBE, the Alexandria database).

```
10
Lattice="4.233 0.000 0.000 0.000 4.233 0.000 -2.116 -2.116 15.771" Properties=species:S:1:pos:R:3 pbc="T T T"
Ho 2.116 2.116 3.425
Ho 0.000 0.000 12.346
Ho 0.000 0.000 5.889
Ho 2.116 2.116 9.882
Te 0.000 0.000 9.226
Te 2.116 2.116 12.896
Te 0.000 0.000 2.875
Te 2.116 2.116 0.000
Te 2.116 2.116 6.545
Sc 0.000 0.000 0.000
```

The calculation puts the size of the total moment at 0.00 μB per formula unit. The space group is No. 139. The uncorrected formation energy is -117.5 kJ per mole of atoms. For the density of states at the Fermi level, the calculation gives 4.32 states/eV/f.u. The energy above the most stable polymorph in this dataset is 0.0 meV per atom.


(3)
# Nd12TmMg3

Nd12TmMg3 after structural relaxation (GGA-PBE, the Alexandria database).

```
16
Lattice="-1.544 2.861 -3.869 3.492 -2.129 -2.968 -13.353 -14.443 -5.351" Properties=species:S:1:pos:R:3 pbc="T T T"
Nd -5.795 -4.002 -3.947
Nd -9.102 -7.579 -5.273
Nd 0.045 -2.904 -2.166
Nd -9.906 -13.668 -6.154
Nd -3.277 -6.497 -3.497
Nd -2.473 -0.409 -2.616
Nd -2.395 -3.278 -4.769
Nd -6.584 -10.074 -4.822
Nd -5.702 -6.855 -6.094
Nd -9.010 -10.433 -7.419
Nd -12.424 -11.173 -6.604
Nd 0.974 0.366 -3.419
Mg -3.384 -3.660 -1.356
Mg -6.676 -7.221 -2.675
Mg -9.969 -10.783 -3.995
Tm 0.000 0.000 0.000
```

The calculation puts the size of the total moment at 0.00 μB per formula unit. The space group is No. 123. For the density of states at the Fermi level, the calculation gives 25.94 states/eV/f.u. The formation energy is -0.0008 eV/atom.


(4)
# Sr2YTlO

Sr2YTlO after structural relaxation (GGA-PBE, the Alexandria database).

```
5
Lattice="-3.172 3.173 -2.592 -3.167 0.181 4.097 2.448 3.853 1.722" Properties=species:S:1:pos:R:3 pbc="T T T"
Sr -1.583 0.091 2.049
Sr -1.586 1.587 -1.296
Tl -1.945 3.604 1.614
Y 1.224 1.927 0.861
O 0.000 0.000 0.000
```

The calculation puts the size of the total moment at 0.00 μB per formula unit. The space group is No. 123. The uncorrected formation energy is -120.5 kJ per mole of atoms. For the density of states at the Fermi level, the calculation gives 3.14 states/eV/f.u.


(5)
# TeIr2Br

TeIr2Br after structural relaxation (GGA-PBE, the Alexandria database).

```
4
Lattice="-2.346 4.106 2.870 -3.964 -1.759 3.434 5.358 -0.029 -1.373" Properties=species:S:1:pos:R:3 pbc="T T T"
Br -0.071 2.626 2.325
Te -0.880 -0.307 2.607
Ir -0.043 0.016 0.043
Ir -3.112 1.158 3.109
```

The calculation puts the size of the total moment at 0.00 μB per formula unit. The space group is No. 71. The uncorrected formation energy is 92.3 kJ per mole of atoms. For the density of states at the Fermi level, the calculation gives 3.54 states/eV/f.u. The energy above the most stable polymorph in this dataset is 761.4 meV per atom.


(6)
# YGa2SbO

YGa2SbO after structural relaxation (GGA-PBE, the Alexandria database).

```
5
Lattice="-1.063 1.703 5.435 0.553 -5.367 1.790 5.668 0.864 0.838" Properties=species:S:1:pos:R:3 pbc="T T T"
Ga -0.531 0.851 2.718
Ga 2.834 0.432 0.419
O 2.579 -1.400 4.031
Sb 0.277 -2.683 0.895
Y 0.000 0.000 0.000
```

The calculation puts the size of the total moment at 0.23 μB per formula unit. The space group is No. 123. The uncorrected formation energy is 93.8 kJ per mole of atoms. For the density of states at the Fermi level, the calculation gives 8.60 states/eV/f.u.


(7)
# ZrNp2P3

ZrNp2P3 after structural relaxation (GGA-PBE, the Alexandria database).

```
24
Lattice="-0.362 -6.392 2.042 6.364 2.118 0.415 -4.902 5.718 9.646" Properties=species:S:1:pos:R:3 pbc="T T T"
Zr 1.915 3.446 7.457
Zr -0.317 0.597 1.812
Zr 2.549 2.253 3.833
Zr 1.417 0.847 10.291
P 0.283 1.336 7.895
P -2.825 3.455 6.654
P 0.782 3.882 5.052
P 1.449 -1.032 0.593
P 0.866 0.168 4.197
P 1.005 -3.711 3.490
P 3.681 1.817 6.238
P -3.314 0.839 9.438
P 0.155 5.113 8.637
P 3.878 -2.071 5.461
P 4.356 0.646 2.641
P 4.553 -3.242 1.864
Np -0.953 1.796 5.455
Np -2.078 0.379 11.878
Np -1.586 2.988 9.072
Np -0.184 -3.190 1.038
Np 2.686 -1.544 3.031
Np -1.446 -0.812 8.261
Np 2.054 -0.352 6.648
Np -0.816 -1.999 4.656
```

The calculation puts the size of the total moment at 7.27 μB per formula unit. The space group is No. 70. For the density of states at the Fermi level, the calculation gives 14.67 states/eV/f.u. The formation energy is -1.0693 eV/atom.


(8)
# CaInTe2

CaInTe2 after structural relaxation (GGA-PBE, the Alexandria database).

```
4
Lattice="5.422 0.010 -0.001 -1.200 5.287 0.001 -2.109 -2.650 4.234" Properties=species:S:1:pos:R:3 pbc="T T T"
In -0.599 2.643 2.117
Te 2.111 2.649 0.000
Te 4.221 5.297 0.000
Ca 2.712 0.004 2.116
```

The calculation puts the size of the total moment at 0.00 μB per formula unit. The space group is No. 139. The uncorrected formation energy is -68.9 kJ per mole of atoms. For the density of states at the Fermi level, the calculation gives 0.49 states/eV/f.u.


(9)
# DyVRh6

DyVRh6 after structural relaxation (GGA-PBE, the Alexandria database).

```
8
Lattice="4.058 0.000 0.000 0.000 4.058 0.000 0.000 0.000 8.340" Properties=species:S:1:pos:R:3 pbc="T T T"
Rh 2.029 0.000 5.563
Rh 0.000 2.029 2.778
Rh 2.029 0.000 2.778
Rh 2.029 2.029 1.180
Rh 0.000 2.029 5.563
Rh 2.029 2.029 7.160
V 0.000 0.000 4.170
Dy 0.000 0.000 0.000
```

The calculation puts the size of the total moment at 0.00 μB per formula unit. The space group is No. 123. For the density of states at the Fermi level, the calculation gives 6.56 states/eV/f.u. The formation energy is -0.1933 eV/atom.


(10)
# Zn2As3

Zn2As3 after structural relaxation (GGA-PBE, the Alexandria database).

```
5
Lattice="-0.098 2.281 -3.004 -3.007 -2.108 0.867 -2.865 5.999 4.649" Properties=species:S:1:pos:R:3 pbc="T T T"
As 0.000 0.000 0.000
As -2.768 4.379 1.046
As -3.202 1.793 1.466
Zn -4.426 4.357 3.453
Zn -1.544 1.815 -0.941
```

The calculation puts the size of the total moment at 0.00 μB per formula unit. The space group is No. 164. For the density of states at the Fermi level, the calculation gives 1.47 states/eV/f.u. The formation energy is 0.1053 eV/atom.


(11)
# Ac2Pm3Dy3

Ac2Pm3Dy3 after structural relaxation (GGA-PBE, the Alexandria database).

```
16
Lattice="-1.911 -1.206 -3.063 -4.700 -3.675 6.744 -10.207 14.362 0.713" Properties=species:S:1:pos:R:3 pbc="T T T"
Dy -6.811 8.502 0.901
Dy -4.523 2.219 -0.417
Dy -9.499 12.285 1.089
Dy -7.319 -2.804 3.305
Dy -12.295 7.262 4.811
Dy -10.007 0.979 3.493
Ac -6.864 3.507 2.901
Ac -12.893 10.108 1.698
Ac -3.926 -0.627 2.696
Ac -9.954 5.974 1.493
Pm -9.919 9.179 0.209
Pm -14.400 10.286 4.933
Pm -2.418 -0.805 -0.539
Pm -10.133 4.282 4.635
Pm -6.685 5.199 -0.241
Pm -6.899 0.302 4.185
```

The calculation puts the size of the total moment at 0.00 μB per formula unit. The space group is No. 63. For the density of states at the Fermi level, the calculation gives 10.38 states/eV/f.u. The formation energy is 0.1558 eV/atom.


(12)
# Ce2Te2N

Ce2Te2N after structural relaxation (GGA-PBE, the Alexandria database).

```
10
Lattice="5.598 0.000 2.389 1.607 6.484 3.986 0.005 0.764 7.742" Properties=species:S:1:pos:R:3 pbc="T T T"
N 2.205 3.624 6.461
N 5.004 3.624 7.656
Ce 3.515 5.361 7.268
Ce 3.694 1.887 6.849
Ce 5.730 3.275 9.832
Ce 1.480 3.973 4.285
Te 6.371 6.655 8.328
Te 2.469 2.716 9.720
Te 4.741 4.532 4.397
Te 0.838 0.592 5.789
```

The calculation puts the size of the total moment at 1.03 μB per formula unit. The space group is No. 72. The uncorrected formation energy is -139.9 kJ per mole of atoms. For the density of states at the Fermi level, the calculation gives 8.92 states/eV/f.u. The energy above the most stable polymorph in this dataset is 0.0 meV per atom.


(13)
# TeRuW2

TeRuW2 after structural relaxation (GGA-PBE, the Alexandria database).

```
4
Lattice="-3.028 1.249 -2.716 -2.004 -1.522 1.534 -2.158 3.447 3.991" Properties=species:S:1:pos:R:3 pbc="T T T"
W -2.131 0.848 2.766
W -1.954 -1.408 1.531
Ru -2.554 1.106 0.023
Te -4.635 2.068 2.786
```

The calculation puts the size of the total moment at 0.00 μB per formula unit. The space group is No. 10. The uncorrected formation energy is 58.2 kJ per mole of atoms. For the density of states at the Fermi level, the calculation gives 2.57 states/eV/f.u.